Record 1
VASP calculation (meta-GGA SCAN) on Sc3CuIr at its PBEsol-relaxed geometry.

Values from the calculation:
Energy ... -25.552 eV per atom

extended XYZ file:
```
5
Lattice="4.688 0.000 0.000 0.000 4.688 0.000 0.000 0.000 4.688" Properties=species:S:1:pos:R:3 pbc="T T T"
Sc 0.000 0.000 2.344
Sc 0.000 2.344 0.000
Sc 2.344 0.000 0.000
Cu 0.000 0.000 0.000
Ir 2.344 2.344 2.344
```

***

Record 2
VASP calculation (meta-GGA SCAN) on SbTe2IrF at its PBEsol-relaxed geometry.

Values from the calculation:
Formation energy (no corrections) ... 6.688 kcal/mol of atoms
Energy ... -36.990 eV per atom

extended XYZ file:
```
5
Lattice="5.214 0.000 0.000 0.000 5.214 0.000 0.000 0.000 5.031" Properties=species:S:1:pos:R:3 pbc="T T T"
Sb 0.000 0.000 0.000
Te 0.000 2.607 2.515
Te 2.607 0.000 2.515
Ir 0.000 0.000 2.515
F 2.607 2.607 0.000
```